# 1
Entry from Alexandria: a relaxed AcSnPt2Au crystal (PBE).

POSCAR file:
```
AcSnPt2Au
1.0
3.000 -6.639 0.000
3.000 6.639 0.000
0.000 0.000 5.993
Ac Sn Pt Au
2 2 4 2
Direct
0.250 0.750 0.779
0.750 0.250 0.221
0.250 0.250 0.500
0.750 0.750 0.500
0.152 0.848 0.305
0.348 0.652 0.305
0.652 0.348 0.695
0.848 0.152 0.695
0.000 0.000 0.000
0.500 0.500 0.000
```

## Properties
M_tot = 0.00 μB per formula unit
SG = Cmme
VASP energy = -5.362 eV/atom
ΔE_f = -0.67 eV per atom


# 2
Entry from Alexandria: a relaxed Ho4Ga12Ir crystal (PBE).

POSCAR file:
```
Ho4Ga12Ir
1.0
-4.297 4.297 4.297
4.297 -4.297 4.297
4.297 4.297 -4.297
Ho Ga Ir
4 12 1
Direct
0.000 0.000 0.500
0.000 0.500 0.000
0.500 0.000 0.000
0.500 0.500 0.500
0.000 0.293 0.293
0.000 0.707 0.707
0.250 0.500 0.750
0.250 0.750 0.500
0.293 0.000 0.293
0.293 0.293 0.000
0.500 0.250 0.750
0.500 0.750 0.250
0.707 0.000 0.707
0.707 0.707 0.000
0.750 0.250 0.500
0.750 0.500 0.250
0.000 0.000 0.000
```

## Properties
M_tot = 0.00 μB per formula unit
SG = Im-3m
VASP energy = -4.335 eV/atom
ΔE_f = -0.60 eV per atom


# 3
Entry from Alexandria: a relaxed CaCr2InRe crystal (PBE).

POSCAR file:
```
CaCr2InRe
1.0
4.787 0.000 0.000
0.000 4.787 0.000
0.000 0.000 5.223
Ca Cr In Re
1 2 1 1
Direct
0.000 0.000 0.000
0.000 0.500 0.500
0.500 0.000 0.500
0.500 0.500 0.000
0.500 0.500 0.500
```

## Properties
M_tot = 6.09 μB per formula unit
SG = P4/mmm
VASP energy = -6.576 eV/atom
ΔE_f = 0.71 eV per atom